The following is a meta-GGA SCAN calculation of CaTaTe2 at its PBEsol-relaxed geometry, from Alexandria.

Unit cell a=7.0952 b=7.0952 c=7.0952 alpha=34.58 beta=34.58 gamma=34.58
Fractional positions:
Ca (0.0000, 0.0000, 0.0000)
Ta (0.5000, 0.5000, 0.5000)
Te (0.2392, 0.2392, 0.2392)
Te (0.7608, 0.7608, 0.7608)

## Properties
Crystal system = trigonal
E_form (uncorrected) = -0.497 eV per atom
Energy relative to the lowest polymorph listed for this composition = 0.0011 eV per atom


The following is a meta-GGA SCAN calculation of MgCd2I at its PBEsol-relaxed geometry, from Alexandria.

Unit cell a=5.4269 b=5.4269 c=5.4269 alpha=60.00 beta=60.00 gamma=60.00
Fractional positions:
Mg (0.0000, 0.0000, 0.0000)
Cd (0.2500, 0.2500, 0.2500)
Cd (0.7500, 0.7500, 0.7500)
I (0.5000, 0.5000, 0.5000)

## Properties
Crystal system = cubic
E_form (uncorrected) = 0.279 eV per atom


The following is a meta-GGA SCAN calculation of BeNi2Br at its PBEsol-relaxed geometry, from Alexandria.

Unit cell a=5.7034 b=5.7034 c=5.7034 alpha=34.07 beta=34.07 gamma=34.07
Fractional positions:
Be (0.0000, 0.0000, 0.0000)
Ni (0.2791, 0.2791, 0.2791)
Ni (0.7209, 0.7209, 0.7209)
Br (0.5000, 0.5000, 0.5000)

## Properties
Crystal system = trigonal
E_form (uncorrected) = 0.176 eV per atom
Energy relative to the lowest polymorph listed for this composition = 0.0000 eV per atom


The following is a meta-GGA SCAN calculation of Co3OF5 at its PBEsol-relaxed geometry, from Alexandria.

Unit cell a=5.5215 b=5.5215 c=7.0730 alpha=107.19 beta=107.19 gamma=74.70
Fractional positions:
Co (0.0000, 0.0000, 0.0000)
Co (0.0074, 0.0074, 0.5260)
Co (0.3118, 0.3118, 0.8696)
Co (0.3346, 0.3346, 0.3288)
Co (0.6475, 0.6475, 0.1756)
Co (0.6594, 0.6594, 0.6781)
O (0.0889, 0.0889, 0.8074)
O (0.4285, 0.4285, 0.1434)
F (0.0221, 0.6221, 0.8501)
F (0.2459, 0.2459, 0.5489)
F (0.2980, 0.7026, 0.5046)
F (0.3605, 0.9585, 0.1810)
F (0.5494, 0.5494, 0.8678)
F (0.6221, 0.0221, 0.8501)
F (0.7026, 0.2980, 0.5046)
F (0.7662, 0.7662, 0.4817)
F (0.8919, 0.8919, 0.2124)
F (0.9585, 0.3605, 0.1810)

## Properties
Crystal system = monoclinic
E_form (uncorrected) = -1.992 eV per atom
Energy relative to the lowest polymorph listed for this composition = 0.0027 eV per atom


The following is a meta-GGA SCAN calculation of HoZnSn at its PBEsol-relaxed geometry, from Alexandria.

Unit cell a=4.5599 b=4.5599 c=7.0764 alpha=90.00 beta=90.00 gamma=120.00
Fractional positions:
Ho (0.0000, 0.0000, 0.0000)
Ho (0.0000, 0.0000, 0.5000)
Zn (0.3333, 0.6667, 0.2500)
Zn (0.6667, 0.3333, 0.7500)
Sn (0.3333, 0.6667, 0.7500)
Sn (0.6667, 0.3333, 0.2500)

## Properties
Crystal system = hexagonal
ΔH_f (0 K) = -0.61 eV per atom


The following is a meta-GGA SCAN calculation of SrCaOs2 at its PBEsol-relaxed geometry, from Alexandria.

Unit cell a=5.6325 b=5.6325 c=2.8835 alpha=100.76 beta=100.76 gamma=118.87
Fractional positions:
Sr (0.0000, 0.0000, 0.0000)
Ca (0.5000, 0.5000, 0.0000)
Os (0.0000, 0.5000, 0.5000)
Os (0.5000, 0.0000, 0.5000)

## Properties
Crystal system = monoclinic
ΔH_f (0 K) = 0.98 eV per atom
Energy relative to the lowest polymorph listed for this composition = 0.1011 eV per atom


| no. | size of the total moment (μB/f.u.) |
| --- | --- |
| 1 | 2.40 |
| 2 | 0.00 |
| 3 | 0.00 |
| 4 | 6.54 |
| 5 | 0.00 |
| 6 | 0.00 |